Model i:
Below is a geometry-optimized Pm2SmSc3 structure, with properties calculated at the PBE-GGA level.

a = 9.1758 Å, b = 9.1758 Å, c = 9.1758 Å
α = 148.19°, β = 120.21°, γ = 69.33°
Element x y z (fractional)
Pm 0.3336 0.3339 0.0003
Pm 0.1664 0.6667 0.5003
Pm 0.8336 0.3333 0.4997
Pm 0.6664 0.6661 0.9997
Sm 0.5000 0.0000 0.5000
Sm 0.0000 0.0000 0.0000
Sc 0.7500 0.5000 0.2500
Sc 0.2500 0.5000 0.7500
Sc 0.5835 0.8335 0.7500
Sc 0.9165 0.1665 0.7500
Sc 0.4165 0.1665 0.2500
Sc 0.0835 0.8335 0.2500

- Space group: Cmmm (65)
- Mass density: 5503 kg/m3
- Total moment: 0.00 μB/cell
- Fermi-level density of states: 1.4982 states/eV per atom

***

Model ii:
Below is a geometry-optimized Pm2SmSc3 structure, with properties calculated at the PBE-GGA level.

a = 6.7285 Å, b = 6.7285 Å, c = 9.2694 Å
α = 90.00°, β = 90.00°, γ = 120.00°
Element x y z (fractional)
Pm 0.0000 0.0000 0.0000
Pm 0.6667 0.3333 0.4361
Pm 0.0000 0.0000 0.5000
Pm 0.3333 0.6667 0.5639
Sm 0.3333 0.6667 0.9213
Sm 0.6667 0.3333 0.0787
Sc 0.1873 0.3746 0.2435
Sc 0.6254 0.8127 0.2435
Sc 0.1873 0.8127 0.2435
Sc 0.8127 0.6254 0.7565
Sc 0.8127 0.1873 0.7565
Sc 0.3746 0.1873 0.7565

- Space group: P-3m1 (164)
- Mass density: 5256 kg/m3
- Total moment: 0.00 μB/cell
- Fermi-level density of states: 2.0974 states/eV per atom

***

Winner for stability: model i

***

Model i:
Below is a geometry-optimized PmSm3Sc structure, with properties calculated at the PBE-GGA level.

a = 3.6265 Å, b = 8.4771 Å, c = 11.0304 Å
α = 74.61°, β = 99.46°, γ = 90.00°
Element x y z (fractional)
Pm 0.5907 0.4064 0.1813
Pm 0.4093 0.5936 0.8187
Sm 0.0180 0.7766 0.0360
Sm 0.9820 0.2234 0.9640
Sm 0.3808 0.0149 0.7617
Sm 0.6192 0.9851 0.2383
Sm 0.1876 0.6246 0.3752
Sm 0.8124 0.3754 0.6248
Sc 0.7802 0.8313 0.5604
Sc 0.2198 0.1687 0.4396

- Space group: C2/m (12)
- Mass density: 6609 kg/m3
- Total moment: 0.00 μB/cell
- Fermi-level density of states: 1.7310 states/eV per atom

***

Model ii:
Below is a geometry-optimized PmSm3Sc structure, with properties calculated at the PBE-GGA level.

a = 6.6100 Å, b = 11.1242 Å, c = 11.1242 Å
α = 52.50°, β = 86.50°, γ = 86.50°
Element x y z (fractional)
Pm 0.7500 0.1011 0.8989
Pm 0.2500 0.8989 0.1011
Pm 0.7500 0.7518 0.2482
Pm 0.2500 0.2482 0.7518
Sm 0.9143 0.0454 0.2553
Sm 0.5857 0.7447 0.9546
Sm 0.0857 0.9546 0.7447
Sm 0.4143 0.2553 0.0454
Sm 0.5754 0.0865 0.5854
Sm 0.9246 0.4146 0.9135
Sm 0.4246 0.9135 0.4146
Sm 0.0754 0.5854 0.0865
Sm 0.8950 0.3656 0.4820
Sm 0.6050 0.5180 0.6344
Sm 0.1050 0.6344 0.5180
Sm 0.3950 0.4820 0.3656
Sc 0.6816 0.3467 0.2207
Sc 0.8184 0.7793 0.6533
Sc 0.3184 0.6533 0.7793
Sc 0.1816 0.2207 0.3467

- Space group: C2/c (15)
- Mass density: 6576 kg/m3
- Total moment: 0.00 μB/cell
- Fermi-level density of states: 1.5315 states/eV per atom

***

Winner for stability: model i

***

Model i:
Below is a geometry-optimized PmSm3Sc2 structure, with properties calculated at the PBE-GGA level.

a = 3.4044 Å, b = 10.0277 Å, c = 11.6547 Å
α = 107.41°, β = 98.40°, γ = 90.00°
Element x y z (fractional)
Pm 0.3160 0.9533 0.6320
Pm 0.6840 0.0467 0.3680
Sm 0.3022 0.2934 0.6045
Sm 0.0673 0.7782 0.1346
Sm 0.4400 0.5682 0.8800
Sm 0.6978 0.7066 0.3955
Sm 0.5600 0.4318 0.1200
Sm 0.9327 0.2218 0.8654
Sc 0.3088 0.6269 0.6177
Sc 0.6912 0.3731 0.3823
Sc 0.9277 0.8587 0.8554
Sc 0.0723 0.1413 0.1446

- Space group: C2/m (12)
- Mass density: 6073 kg/m3
- Total moment: 0.00 μB/cell
- Fermi-level density of states: 1.7052 states/eV per atom

***

Model ii:
Below is a geometry-optimized PmSm3Sc2 structure, with properties calculated at the PBE-GGA level.

a = 5.4923 Å, b = 8.7332 Å, c = 8.7332 Å
α = 111.51°, β = 90.00°, γ = 90.00°
Element x y z (fractional)
Pm 0.9930 0.7307 0.7307
Pm 0.4930 0.2693 0.2693
Sm 0.9930 0.8916 0.3702
Sm 0.4930 0.6298 0.1084
Sm 0.9930 0.3702 0.8916
Sm 0.4930 0.1084 0.6298
Sm 0.4930 0.9036 0.9036
Sm 0.9930 0.0964 0.0964
Sc 0.4930 0.6954 0.4853
Sc 0.9930 0.5147 0.3046
Sc 0.4930 0.4853 0.6954
Sc 0.9930 0.3046 0.5147

- Space group: Cmcm (63)
- Mass density: 5846 kg/m3
- Total moment: 0.00 μB/cell
- Fermi-level density of states: 1.7277 states/eV per atom

***

Winner for stability: model i

***

Model i:
Below is a geometry-optimized Pm2Sm7Sc2 structure, with properties calculated at the PBE-GGA level.

a = 9.4898 Å, b = 9.3037 Å, c = 9.4898 Å
α = 43.97°, β = 137.36°, γ = 136.03°
Element x y z (fractional)
Pm 0.2286 0.9953 0.7714
Pm 0.7714 0.0047 0.2286
Sm 0.5350 0.3507 0.0041
Sm 0.0041 0.6493 0.5350
Sm 0.4650 0.6493 0.9959
Sm 0.9959 0.3507 0.4650
Sm 0.5001 0.1756 0.4999
Sm 0.0000 0.0000 0.0000
Sm 0.4999 0.8244 0.5001
Sc 0.7441 0.5000 0.7441
Sc 0.2559 0.5000 0.2559

- Space group: C2/m (12)
- Mass density: 6600 kg/m3
- Total moment: 0.00 μB/cell
- Fermi-level density of states: 1.4101 states/eV per atom

***

Model ii:
Below is a geometry-optimized Pm2Sm7Sc2 structure, with properties calculated at the PBE-GGA level.

a = 3.5684 Å, b = 10.7072 Å, c = 10.7072 Å
α = 65.36°, β = 80.41°, γ = 80.41°
Element x y z (fractional)
Pm 0.7133 0.8783 0.6951
Pm 0.2867 0.3049 0.1217
Sm 0.8316 0.0124 0.3244
Sm 0.8414 0.4927 0.8244
Sm 0.5000 0.0329 0.9671
Sm 0.6080 0.4797 0.3044
Sm 0.3920 0.6956 0.5203
Sm 0.1684 0.6756 0.9876
Sm 0.1586 0.1756 0.5073
Sc 0.0000 0.7756 0.2244
Sc 0.5000 0.3306 0.6694

- Space group: Imm2 (44)
- Mass density: 6526 kg/m3
- Total moment: 0.00 μB/cell
- Fermi-level density of states: 1.6213 states/eV per atom

***

Winner for stability: model ii

***

Model i:
Below is a geometry-optimized PmSm6Sc2 structure, with properties calculated at the PBE-GGA level.

a = 12.0835 Å, b = 7.3103 Å, c = 7.3103 Å
α = 86.84°, β = 70.84°, γ = 70.84°
Element x y z (fractional)
Pm 0.2500 0.0454 0.9546
Pm 0.7500 0.9546 0.0454
Sm 0.6046 0.7707 0.4930
Sm 0.8954 0.5070 0.2293
Sm 0.3954 0.2293 0.5070
Sm 0.1046 0.4930 0.7707
Sm 0.9334 0.0475 0.2606
Sm 0.5666 0.7394 0.9525
Sm 0.0666 0.9525 0.7394
Sm 0.4334 0.2606 0.0475
Sm 0.1514 0.6363 0.2236
Sm 0.3486 0.7764 0.3637
Sm 0.8486 0.3637 0.7764
Sm 0.6514 0.2236 0.6363
Sc 0.3660 0.6046 0.7705
Sc 0.1340 0.2295 0.3954
Sc 0.6340 0.3954 0.2295
Sc 0.8660 0.7705 0.6046

- Space group: C2/c (15)
- Mass density: 6565 kg/m3
- Total moment: 0.00 μB/cell
- Fermi-level density of states: 1.5425 states/eV per atom

***

Model ii:
Below is a geometry-optimized PmSm6Sc2 structure, with properties calculated at the PBE-GGA level.

a = 8.0066 Å, b = 8.0066 Å, c = 10.3505 Å
α = 90.00°, β = 90.00°, γ = 90.00°
Element x y z (fractional)
Pm 0.5000 0.5000 0.0000
Pm 0.0000 0.0000 0.5000
Sm 0.7424 0.7424 0.1692
Sm 0.7424 0.7424 0.8308
Sm 0.7317 0.7317 0.5000
Sm 0.7683 0.2317 0.0000
Sm 0.7576 0.2424 0.3308
Sm 0.7576 0.2424 0.6692
Sm 0.2424 0.7576 0.3308
Sm 0.2424 0.7576 0.6692
Sm 0.2317 0.7683 0.0000
Sm 0.2683 0.2683 0.5000
Sm 0.2576 0.2576 0.1692
Sm 0.2576 0.2576 0.8308
Sc 0.5000 0.5000 0.3357
Sc 0.5000 0.5000 0.6643
Sc 0.0000 0.0000 0.1643
Sc 0.0000 0.0000 0.8357

- Space group: P4_2/mnm (136)
- Mass density: 5691 kg/m3
- Total moment: 0.00 μB/cell
- Fermi-level density of states: 1.3545 states/eV per atom

***

Winner for stability: model i

***

Model i:
Below is a geometry-optimized PmSm3Sc3 structure, with properties calculated at the PBE-GGA level.

a = 6.5720 Å, b = 6.5771 Å, c = 6.5771 Å
α = 109.49°, β = 109.46°, γ = 109.46°
Element x y z (fractional)
Pm 0.4338 0.0000 0.0000
Sm 0.5558 0.5586 0.5586
Sm 0.9972 0.0000 0.4414
Sm 0.9972 0.4414 0.0000
Sc 0.9966 0.4994 0.4994
Sc 0.4972 0.0000 0.5006
Sc 0.4972 0.5006 0.0000

- Space group: R3m (160)
- Mass density: 5545 kg/m3
- Total moment: 0.00 μB/cell
- Fermi-level density of states: 1.5058 states/eV per atom

***

Model ii:
Below is a geometry-optimized PmSm3Sc3 structure, with properties calculated at the PBE-GGA level.

a = 8.5899 Å, b = 8.5899 Å, c = 8.5899 Å
α = 58.62°, β = 58.62°, γ = 58.62°
Element x y z (fractional)
Pm 0.3461 0.3461 0.3461
Pm 0.6539 0.6539 0.6539
Sm 0.7174 0.5676 0.0706
Sm 0.0706 0.7174 0.5676
Sm 0.5676 0.0706 0.7174
Sm 0.4324 0.9294 0.2826
Sm 0.9294 0.2826 0.4324
Sm 0.2826 0.4324 0.9294
Sc 0.7245 0.1672 0.9388
Sc 0.1672 0.9388 0.7245
Sc 0.9388 0.7245 0.1672
Sc 0.0612 0.2755 0.8328
Sc 0.8328 0.0612 0.2755
Sc 0.2755 0.8328 0.0612

- Space group: R-3 (148)
- Mass density: 5594 kg/m3
- Total moment: 0.00 μB/cell
- Fermi-level density of states: 1.7009 states/eV per atom

***

Winner for stability: model ii

***

Model i:
Below is a geometry-optimized Pm3Sm3Sc structure, with properties calculated at the PBE-GGA level.

a = 8.0930 Å, b = 8.0930 Å, c = 7.2112 Å
α = 89.98°, β = 89.98°, γ = 88.12°
Element x y z (fractional)
Pm 0.2797 0.2797 0.5001
Pm 0.2862 0.7138 0.5000
Pm 0.7138 0.2862 0.5000
Pm 0.3115 0.6885 0.0000
Pm 0.6885 0.3115 0.0000
Pm 0.7203 0.7203 0.4999
Sm 0.9999 0.9999 0.7552
Sm 0.4991 0.0000 0.2433
Sm 0.0000 0.4991 0.2433
Sm 0.5009 0.0000 0.7567
Sm 0.0000 0.5009 0.7567
Sm 0.0001 0.0001 0.2448
Sc 0.2636 0.2636 0.9997
Sc 0.7364 0.7364 0.0003

- Space group: C2/m (12)
- Mass density: 6550 kg/m3
- Total moment: 0.00 μB/cell
- Fermi-level density of states: 1.6006 states/eV per atom

***

Model ii:
Below is a geometry-optimized Pm3Sm3Sc structure, with properties calculated at the PBE-GGA level.

a = 5.7527 Å, b = 9.6148 Å, c = 9.6148 Å
α = 120.00°, β = 90.00°, γ = 90.00°
Element x y z (fractional)
Pm 0.7500 0.4793 0.3825
Pm 0.7500 0.9031 0.5207
Pm 0.2500 0.3825 0.9031
Pm 0.7500 0.6175 0.0969
Pm 0.2500 0.0969 0.4793
Pm 0.2500 0.5207 0.6175
Sm 0.7500 0.1910 0.9485
Sm 0.7500 0.7575 0.8090
Sm 0.2500 0.9485 0.7575
Sm 0.7500 0.0515 0.2425
Sm 0.2500 0.2425 0.1910
Sm 0.2500 0.8090 0.0515
Sc 0.2500 0.6667 0.3333
Sc 0.7500 0.3333 0.6667

- Space group: P6_3/m (176)
- Mass density: 6714 kg/m3
- Total moment: 0.00 μB/cell
- Fermi-level density of states: 1.7739 states/eV per atom

***

Winner for stability: model ii

***

Model i:
Below is a geometry-optimized Pm7Sm12Sc structure, with properties calculated at the PBE-GGA level.

a = 8.8128 Å, b = 8.8128 Å, c = 8.8128 Å
α = 92.42°, β = 92.42°, γ = 92.42°
Element x y z (fractional)
Pm 0.8837 0.6341 0.9487
Pm 0.3659 0.0513 0.1163
Pm 0.0513 0.1163 0.3659
Pm 0.5000 0.5000 0.5000
Pm 0.9487 0.8837 0.6341
Pm 0.6341 0.9487 0.8837
Pm 0.1163 0.3659 0.0513
Sm 0.8575 0.2589 0.7113
Sm 0.7411 0.2887 0.1425
Sm 0.5527 0.1599 0.4522
Sm 0.8401 0.5478 0.4473
Sm 0.2887 0.1425 0.7411
Sm 0.5478 0.4473 0.8401
Sm 0.4522 0.5527 0.1599
Sm 0.7113 0.8575 0.2589
Sm 0.1599 0.4522 0.5527
Sm 0.4473 0.8401 0.5478
Sm 0.2589 0.7113 0.8575
Sm 0.1425 0.7411 0.2887
Sc 0.0000 0.0000 0.0000

- Space group: R-3 (148)
- Mass density: 6968 kg/m3
- Total moment: 0.00 μB/cell
- Fermi-level density of states: 1.5485 states/eV per atom

***

Model ii:
Below is a geometry-optimized Pm7Sm12Sc structure, with properties calculated at the PBE-GGA level.

a = 9.9468 Å, b = 9.9468 Å, c = 9.9468 Å
α = 109.47°, β = 109.47°, γ = 109.47°
Element x y z (fractional)
Pm 0.5000 0.5000 0.0000
Pm 0.0000 0.5000 0.5000
Pm 0.5000 0.0000 0.5000
Pm 0.5000 0.5000 0.5000
Pm 0.0000 0.0000 0.5000
Pm 0.5000 0.0000 0.0000
Pm 0.0000 0.5000 0.0000
Sm 0.5113 0.7557 0.7555
Sm 0.0002 0.7557 0.2445
Sm 0.4887 0.2443 0.2445
Sm 0.9998 0.2443 0.7555
Sm 0.7555 0.9998 0.2443
Sm 0.7555 0.5113 0.7557
Sm 0.2445 0.0002 0.7557
Sm 0.2445 0.4887 0.2443
Sm 0.7557 0.7555 0.5113
Sm 0.2443 0.2445 0.4887
Sm 0.7557 0.2445 0.0002
Sm 0.2443 0.7555 0.9998
Sc 0.0000 0.0000 0.0000

- Space group: Im-3m (229)
- Mass density: 6278 kg/m3
- Total moment: 0.01 μB/cell
- Fermi-level density of states: 1.4033 states/eV per atom

***

Winner for stability: model i

***

Model i:
Below is a geometry-optimized PmSm4Sc2 structure, with properties calculated at the PBE-GGA level.

a = 8.4187 Å, b = 9.1654 Å, c = 15.5321 Å
α = 88.99°, β = 82.47°, γ = 156.72°
Element x y z (fractional)
Pm 0.7445 0.0761 0.2819
Pm 0.2555 0.9239 0.7181
Sm 0.3432 0.3974 0.4016
Sm 0.2782 0.8224 0.1185
Sm 0.6831 0.3248 0.4498
Sm 0.2730 0.4755 0.0163
Sm 0.7270 0.5245 0.9837
Sm 0.3169 0.6752 0.5502
Sm 0.7218 0.1776 0.8815
Sm 0.6568 0.6026 0.5984
Sc 0.2465 0.2529 0.8316
Sc 0.6758 0.9162 0.7227
Sc 0.7535 0.7471 0.1684
Sc 0.3242 0.0838 0.2773

- Space group: P-1 (2)
- Mass density: 6322 kg/m3
- Total moment: 0.00 μB/cell
- Fermi-level density of states: 1.5400 states/eV per atom

***

Model ii:
Below is a geometry-optimized PmSm4Sc2 structure, with properties calculated at the PBE-GGA level.

a = 8.6282 Å, b = 6.4529 Å, c = 9.0729 Å
α = 90.00°, β = 119.19°, γ = 90.00°
Element x y z (fractional)
Pm 0.2386 0.7500 0.1666
Pm 0.7614 0.2500 0.8334
Sm 0.6271 0.5027 0.2322
Sm 0.9860 0.7500 0.7470
Sm 0.0140 0.2500 0.2530
Sm 0.6271 0.9973 0.2322
Sm 0.9400 0.2500 0.5868
Sm 0.3729 0.0027 0.7678
Sm 0.3729 0.4973 0.7678
Sm 0.0600 0.7500 0.4132
Sc 0.7951 0.7500 0.9904
Sc 0.2049 0.2500 0.0096
Sc 0.4405 0.2500 0.4398
Sc 0.5595 0.7500 0.5602

- Space group: P2_1/m (11)
- Mass density: 6298 kg/m3
- Total moment: 0.00 μB/cell
- Fermi-level density of states: 1.6711 states/eV per atom

***

Winner for stability: model i